1.
A relaxed AsSe2Cl crystal, computed with PBE.

Raw formation energy = 0.179 eV per atom
Size of the total moment = 0.00 μB/f.u.
Total energy = -3.1872 eV per atom
Polymorph energy (0 for the lowest one) = 0.375 eV/atom

POSCAR file:
```
AsSe2Cl
1.0
-1.3628 -3.3375 -2.0172
2.4886 -1.6786 1.0960
-5.8112 -1.1501 5.8291
Se As Cl
2 1 1
Direct
0.5000 0.3066 0.2594
0.0000 0.2012 0.0851
0.0000 0.4400 0.4842
0.5000 0.5522 0.6713
```



2.
A relaxed BaZr2Al2 crystal, computed with PBE.

Size of the total moment = 0.00 μB/f.u.
Total energy = -5.3901 eV per atom
Polymorph energy (0 for the lowest one) = 0.000 eV/atom
Energy relative to the elements = -0.089 eV/atom

POSCAR file:
```
BaZr2Al2
1.0
8.8393 0.0000 0.0000
0.0000 8.8393 0.0000
0.0000 0.0000 3.1067
Ba Zr Al
2 4 4
Direct
0.5000 0.5000 0.0000
0.0000 0.0000 0.0000
0.1224 0.3776 0.0000
0.8776 0.6224 0.0000
0.6224 0.1224 0.0000
0.3776 0.8776 0.0000
0.1687 0.6687 0.5000
0.3313 0.1687 0.5000
0.6687 0.8313 0.5000
0.8313 0.3313 0.5000
```



3.
A relaxed AlInAu3 crystal, computed with PBE.

Size of the total moment = 0.00 μB/f.u.
Total energy = -3.5024 eV per atom
Polymorph energy (0 for the lowest one) = 0.006 eV/atom
Energy relative to the elements = -0.240 eV/atom

POSCAR file:
```
AlInAu3
1.0
7.0155 0.0000 0.0000
0.0000 7.5577 0.3642
0.0000 -2.0951 7.2873
In Au Al
4 12 4
Direct
0.9517 0.6163 0.2131
0.4517 0.3837 0.2869
0.5483 0.6163 0.7131
0.0483 0.3837 0.7869
0.3359 0.1707 0.9241
0.4577 0.8147 0.4033
0.1840 0.5933 0.5388
0.5423 0.1853 0.5967
0.8160 0.4067 0.4612
0.6840 0.4067 0.9612
0.3160 0.5933 0.0388
0.0423 0.8147 0.9033
0.9577 0.1853 0.0967
0.1641 0.1707 0.4241
0.6641 0.8293 0.0759
0.8359 0.8293 0.5759
0.1917 0.9536 0.6388
0.8083 0.0464 0.3612
0.6917 0.0464 0.8612
0.3083 0.9536 0.1388
```



4.
A relaxed SrZnTc crystal, computed with PBE.

Size of the total moment = 0.00 μB/f.u.
Total energy = -4.3062 eV per atom
Polymorph energy (0 for the lowest one) = 0.100 eV/atom
Energy relative to the elements = 0.134 eV/atom

POSCAR file:
```
SrZnTc
1.0
-2.8216 2.0073 -2.4163
0.7065 -5.7379 -1.9317
-4.3087 -0.9777 4.3704
Tc Zn Sr
2 2 2
Direct
0.1937 0.0426 0.9793
0.7956 0.2462 0.9947
0.5935 0.8517 0.7282
0.9701 0.6022 0.7712
0.5153 0.6764 0.1851
0.2737 0.2171 0.5271
```



5.
A relaxed SrCaTlAg crystal, computed with PBE.

Size of the total moment = 0.00 μB/f.u.
Total energy = -2.5383 eV per atom
Polymorph energy (0 for the lowest one) = 0.017 eV/atom
Energy relative to the elements = -0.313 eV/atom

POSCAR file:
```
SrCaTlAg
1.0
4.2985 0.0000 0.0000
0.0000 4.8065 0.0000
-2.1493 0.0000 6.1860
Tl Sr Ag Ca
1 1 1 1
Direct
0.5767 0.5000 0.1534
0.8528 0.5000 0.7056
0.4279 0.0000 0.8557
0.1426 0.0000 0.2853
```



6.
A relaxed CaYAl crystal, computed with PBE.

Size of the total moment = 0.00 μB/f.u.
Total energy = -4.2220 eV per atom
Polymorph energy (0 for the lowest one) = 0.097 eV/atom
Energy relative to the elements = -0.153 eV/atom

POSCAR file:
```
CaYAl
1.0
3.5615 -0.0004 0.0009
1.7811 8.6738 -0.0379
0.0001 0.4554 5.4732
Al Ca Y
2 2 2
Direct
0.2360 0.4400 0.0784
0.1114 0.6892 0.7069
0.8875 0.1367 0.1381
0.5889 0.7343 0.1918
0.4618 0.9882 0.6582
0.7557 0.4010 0.6005
```



7.
A relaxed NdTh2Co crystal, computed with PBE.

Size of the total moment = 0.00 μB/f.u.
Total energy = -6.7680 eV per atom
Polymorph energy (0 for the lowest one) = 0.074 eV/atom
Energy relative to the elements = -0.090 eV/atom

POSCAR file:
```
NdTh2Co
1.0
-3.3663 -0.5488 -1.7972
-0.0902 -0.4549 -3.8273
-0.2486 -9.2944 -0.8312
Nd Th Co
1 2 1
Direct
0.4992 0.4992 0.5023
0.0588 0.0588 0.8237
0.2758 0.2758 0.1727
0.6662 0.6662 0.0013
```



8.
A relaxed ZnH2Ir crystal, computed with PBE.

Size of the total moment = 0.00 μB/f.u.
Total energy = -3.6089 eV per atom
Polymorph energy (0 for the lowest one) = 0.422 eV/atom

POSCAR file:
```
ZnH2Ir
1.0
-3.1429 -1.7445 0.8393
-3.1986 1.1741 -1.4199
-1.7329 -2.0156 -2.5612
Zn H Ir
1 2 1
Direct
0.0000 0.0000 0.0000
0.7500 0.7500 0.7500
0.2500 0.2500 0.2500
0.5000 0.5000 0.5000
```



9.
A relaxed Na4As2Pt crystal, computed with PBE.

Size of the total moment = 0.00 μB/f.u.
Total energy = -3.3483 eV per atom
Energy relative to the elements = -0.403 eV/atom

POSCAR file:
```
Na4As2Pt
1.0
-0.0823 0.9060 -4.8996
-0.7475 -3.7356 -3.2125
-8.8391 0.4284 -2.3066
Pt Na As
1 4 2
Direct
0.0000 0.0000 0.0000
0.7927 0.7927 0.6220
0.6267 0.6267 0.1199
0.3733 0.3733 0.8801
0.2073 0.2073 0.3780
0.0901 0.0901 0.7298
0.9099 0.9099 0.2702
```



10.
A relaxed BaYW2 crystal, computed with PBE.

Size of the total moment = 0.00 μB/f.u.
Total energy = -7.7354 eV per atom
Polymorph energy (0 for the lowest one) = 0.280 eV/atom
Energy relative to the elements = 0.838 eV/atom

POSCAR file:
```
BaYW2
1.0
3.1393 0.0264 0.0000
-1.1878 2.9060 0.0000
0.0000 0.0000 10.8683
Y W Ba
1 2 1
Direct
0.0000 0.0000 0.4447
0.5000 0.5000 0.2191
0.0000 0.0000 0.0511
0.5000 0.5000 0.7852
```



11.
A relaxed SrIn4Ir crystal, computed with PBE.

Size of the total moment = 0.00 μB/f.u.
Total energy = -3.3355 eV per atom
Energy relative to the elements = 0.247 eV/atom

POSCAR file:
```
SrIn4Ir
1.0
0.0000 4.2243 4.2243
4.2243 0.0000 4.2243
4.2243 4.2243 0.0000
Sr In Ir
1 4 1
Direct
0.0000 0.0000 0.0000
0.8724 0.3759 0.3759
0.3759 0.3759 0.8724
0.3759 0.3759 0.3759
0.3759 0.8724 0.3759
0.7500 0.7500 0.7500
```



12.
A relaxed Ga2S3O12 crystal, computed with PBE.

Raw formation energy = -1.452 eV per atom
Size of the total moment = 0.00 μB/f.u.
Total energy = -6.0362 eV per atom

POSCAR file:
```
Ga2S3O12
1.0
-8.4378 -2.4567 -0.4293
-2.8456 -8.2453 1.1550
-4.7513 -2.7031 6.8945
S O Ga
6 24 4
Direct
0.2490 0.9602 0.5421
0.5421 0.2490 0.9602
0.0398 0.4579 0.7510
0.4579 0.7510 0.0398
0.7510 0.0398 0.4579
0.9602 0.5421 0.2490
0.7404 0.1156 0.8745
0.5178 0.4569 0.8237
0.2596 0.8844 0.1255
0.8461 0.4743 0.7844
0.1156 0.8745 0.7404
0.1539 0.5257 0.2156
0.2156 0.1539 0.5257
0.8237 0.5178 0.4569
0.9840 0.3881 0.2062
0.5431 0.1763 0.4822
0.4822 0.5431 0.1763
0.5257 0.2156 0.1539
0.1763 0.4822 0.5431
0.7938 0.0160 0.6119
0.8844 0.1255 0.2596
0.8745 0.7404 0.1156
0.1255 0.2596 0.8844
0.7843 0.8461 0.4743
0.2062 0.9840 0.3881
0.0160 0.6119 0.7938
0.6119 0.7938 0.0160
0.3881 0.2062 0.9840
0.4743 0.7844 0.8461
0.4569 0.8237 0.5178
0.6512 0.6512 0.6512
0.1445 0.1445 0.1445
0.3488 0.3488 0.3488
0.8555 0.8555 0.8555
```